The following is a GGA-PBE calculation of Ag2RuAu after structural relaxation, from the Alexandria database.

Output
The calculation puts the density of states at the Fermi level at 0.623 states/eV/atom. The distance to the lowest polymorph of the same formula is 0.16 eV/f.u. The total energy comes out at -4.226 eV per atom. The energy of formation from the pure elements is 0.338 eV per atom. The space group is Cmmm, No. 65. The value obtained for the volume is 17.08 Å³ per atom. Its crystal system is orthorhombic.

```
4
Lattice="-0.9994 1.4114 2.1904 -1.7528 -1.5953 -1.4737 2.0667 -7.7617 5.9442" Properties=species:S:1:pos:R:3 pbc="T T T"
Ag 2.0517 -7.7055 5.9011
Ag 1.0483 -3.9371 3.0152
Au -0.8594 -2.0324 1.8444
Ru 0.1739 -5.9133 4.8165
```